Entry 1:
! SrZrInSbO6 (PBE, relaxed); values from VASP
! electronic total energy	-6.86	eV/atom
! space-group type	No. 216
! formation energy (no corrections)	-2171	meV per atom
! total magnetic moment	0.0	μB per formula unit
&SYSTEM
  ibrav = 0, nat = 10, ntyp = 5
/
ATOMIC_SPECIES
Sr 87.62 Sr.upf
Zr 91.22 Zr.upf
In 114.82 In.upf
Sb 121.76 Sb.upf
O 16.00 O.upf
CELL_PARAMETERS angstrom
0.000 4.128 4.128
4.128 0.000 4.128
4.128 4.128 0.000
ATOMIC_POSITIONS crystal
Sr 0.000 0.000 0.000
Zr 0.750 0.750 0.750
In 0.500 0.500 0.500
Sb 0.250 0.250 0.250
O 0.006 0.006 0.494
O 0.006 0.494 0.006
O 0.006 0.494 0.494
O 0.494 0.006 0.006
O 0.494 0.006 0.494
O 0.494 0.494 0.006

---

Entry 2:
! Pr2Nd5Y (PBE, relaxed); values from VASP
! D(E_F)	1.51	states/eV per atom
! ΔH_f (0 K)	0.3	kcal/mol of atoms
! electronic total energy	-4.97	eV/atom
! space-group type	No. 55
! total magnetic moment	0.0	μB per formula unit
&SYSTEM
  ibrav = 0, nat = 16, ntyp = 3
/
ATOMIC_SPECIES
Pr 140.91 Pr.upf
Nd 144.24 Nd.upf
Y 88.91 Y.upf
CELL_PARAMETERS angstrom
7.350 0.000 0.000
0.000 14.729 0.000
0.000 0.000 5.193
ATOMIC_POSITIONS crystal
Pr 0.249 0.125 0.000
Pr 0.251 0.625 0.000
Pr 0.749 0.375 0.000
Pr 0.751 0.875 0.000
Nd 0.000 0.500 0.500
Nd 0.001 0.751 0.500
Nd 0.249 0.375 0.000
Nd 0.251 0.875 0.000
Nd 0.499 0.251 0.500
Nd 0.500 0.000 0.500
Nd 0.501 0.749 0.500
Nd 0.749 0.125 0.000
Nd 0.751 0.625 0.000
Nd 0.999 0.249 0.500
Y 0.000 0.000 0.500
Y 0.500 0.500 0.500

---

Entry 3:
! CoBi2As2 (PBE, relaxed); values from VASP
! D(E_F)	0.71	states/eV per atom
! ΔH_f (0 K)	2.5	kcal/mol of atoms
! electronic total energy	-4.72	eV/atom
! ΔE to the lowest computed polymorph	0.000	eV per formula unit
! space-group type	No. 127
! total magnetic moment	0.9	μB per formula unit
&SYSTEM
  ibrav = 0, nat = 10, ntyp = 3
/
ATOMIC_SPECIES
Co 58.93 Co.upf
Bi 208.98 Bi.upf
As 74.92 As.upf
CELL_PARAMETERS angstrom
6.215 0.000 0.000
0.000 6.215 0.000
0.000 0.000 6.055
ATOMIC_POSITIONS crystal
Co 0.000 0.000 0.000
Co 0.500 0.500 0.000
Bi 0.188 0.312 0.500
Bi 0.312 0.812 0.500
Bi 0.688 0.188 0.500
Bi 0.812 0.688 0.500
As 0.148 0.352 0.000
As 0.352 0.852 0.000
As 0.648 0.148 0.000
As 0.852 0.648 0.000

---

Entry 4:
! PaBe4Cr (PBE, relaxed); values from VASP
! D(E_F)	0.53	states/eV per atom
! ΔH_f (0 K)	3.2	kcal/mol of atoms
! electronic total energy	-5.53	eV/atom
! space-group type	No. 216
! total magnetic moment	1.0	μB per formula unit
&SYSTEM
  ibrav = 0, nat = 6, ntyp = 3
/
ATOMIC_SPECIES
Pa 231.04 Pa.upf
Be 9.01 Be.upf
Cr 52.00 Cr.upf
CELL_PARAMETERS angstrom
0.000 3.317 3.317
3.317 0.000 3.317
3.317 3.317 0.000
ATOMIC_POSITIONS crystal
Pa 0.000 0.000 0.000
Be 0.133 0.622 0.622
Be 0.622 0.133 0.622
Be 0.622 0.622 0.133
Be 0.622 0.622 0.622
Cr 0.250 0.250 0.250

---

Entry 5:
! Mg3Si2Rh (PBE, relaxed); values from VASP
! D(E_F)	0.38	states/eV per atom
! electronic total energy	-4.16	eV/atom
! space-group type	No. 14
! formation energy (no corrections)	-328	meV per atom
! total magnetic moment	0.0	μB per formula unit
&SYSTEM
  ibrav = 0, nat = 24, ntyp = 3
/
ATOMIC_SPECIES
Mg 24.30 Mg.upf
Si 28.09 Si.upf
Rh 102.91 Rh.upf
CELL_PARAMETERS angstrom
7.097 0.000 0.000
0.000 8.055 0.000
-0.258 0.000 7.280
ATOMIC_POSITIONS crystal
Mg 0.125 0.138 0.444
Mg 0.125 0.362 0.944
Mg 0.236 0.730 0.311
Mg 0.236 0.770 0.811
Mg 0.334 0.061 0.099
Mg 0.334 0.439 0.599
Mg 0.666 0.561 0.401
Mg 0.666 0.939 0.901
Mg 0.764 0.230 0.189
Mg 0.764 0.270 0.689
Mg 0.875 0.638 0.056
Mg 0.875 0.862 0.556
Si 0.039 0.057 0.830
Si 0.039 0.443 0.330
Si 0.491 0.649 0.070
Si 0.491 0.851 0.570
Si 0.509 0.149 0.430
Si 0.509 0.351 0.930
Si 0.961 0.557 0.670
Si 0.961 0.943 0.170
Rh 0.374 0.110 0.733
Rh 0.374 0.390 0.233
Rh 0.626 0.610 0.767
Rh 0.626 0.890 0.267

---

Entry 6:
! KAsCl2 (PBE, relaxed); values from VASP
! D(E_F)	0.15	states/eV per atom
! electronic total energy	-3.19	eV/atom
! ΔE to the lowest computed polymorph	0.000	eV per formula unit
! space-group type	No. 6
! formation energy (no corrections)	-827	meV per atom
! total magnetic moment	0.0	μB per formula unit
&SYSTEM
  ibrav = 0, nat = 4, ntyp = 3
/
ATOMIC_SPECIES
K 39.10 K.upf
As 74.92 As.upf
Cl 35.45 Cl.upf
CELL_PARAMETERS angstrom
3.702 0.000 0.000
0.000 5.327 0.000
-0.009 0.000 5.332
ATOMIC_POSITIONS crystal
K 0.000 0.000 0.000
As 0.500 0.500 0.499
Cl 0.499 0.500 0.998
Cl 0.501 0.000 0.499